1.
{"formula": "Li3MgZn5B15H60", "functional": "PBE", "state": "optimized geometry", "lattice_angstrom": [[12.932, -7.810, 0.000], [12.932, 7.810, 0.000], [0.000, 0.000, 8.547]], "species": ["Li", "Li", "Li", "Li", "Li", "Li", "Mg", "Mg", "Zn", "Zn", "Zn", "Zn", "Zn", "Zn", "Zn", "Zn", "Zn", "Zn", "B", "B", "B", "B", "B", "B", "B", "B", "B", "B", "B", "B", "B", "B", "B", "B", "B", "B", "B", "B", "B", "B", "B", "B", "B", "B", "B", "B", "B", "B", "H", "H", "H", "H", "H", "H", "H", "H", "H", "H", "H", "H", "H", "H", "H", "H", "H", "H", "H", "H", "H", "H", "H", "H", "H", "H", "H", "H", "H", "H", "H", "H", "H", "H", "H", "H", "H", "H", "H", "H", "H", "H", "H", "H", "H", "H", "H", "H", "H", "H", "H", "H", "H", "H", "H", "H", "H", "H", "H", "H", "H", "H", "H", "H", "H", "H", "H", "H", "H", "H", "H", "H", "H", "H", "H", "H", "H", "H", "H", "H", "H", "H", "H", "H", "H", "H", "H", "H", "H", "H", "H", "H", "H", "H", "H", "H", "H", "H", "H", "H", "H", "H", "H", "H", "H", "H", "H", "H", "H", "H", "H", "H", "H", "H", "H", "H", "H", "H", "H", "H"], "frac_coords": [[0.000, 0.000, 0.250], [0.000, 0.000, 0.750], [0.003, 0.394, 0.250], [0.394, 0.003, 0.750], [0.606, 0.997, 0.250], [0.997, 0.606, 0.750], [0.392, 0.608, 0.250], [0.608, 0.392, 0.750], [0.004, 0.291, 0.750], [0.281, 0.719, 0.750], [0.291, 0.004, 0.250], [0.327, 0.337, 0.750], [0.337, 0.327, 0.250], [0.663, 0.673, 0.750], [0.673, 0.663, 0.250], [0.709, 0.996, 0.750], [0.719, 0.281, 0.250], [0.996, 0.709, 0.250], [0.001, 0.651, 0.015], [0.001, 0.651, 0.485], [0.002, 0.146, 0.750], [0.144, 0.856, 0.750], [0.146, 0.002, 0.250], [0.183, 0.353, 0.250], [0.185, 0.474, 0.750], [0.345, 0.655, 0.519], [0.345, 0.655, 0.981], [0.349, 0.999, 0.015], [0.349, 0.999, 0.485], [0.353, 0.183, 0.750], [0.359, 0.467, 0.250], [0.467, 0.359, 0.750], [0.474, 0.185, 0.250], [0.526, 0.815, 0.750], [0.533, 0.641, 0.250], [0.641, 0.533, 0.750], [0.647, 0.817, 0.250], [0.651, 0.001, 0.515], [0.651, 0.001, 0.985], [0.655, 0.345, 0.019], [0.655, 0.345, 0.481], [0.815, 0.526, 0.250], [0.817, 0.647, 0.750], [0.854, 0.998, 0.750], [0.856, 0.144, 0.250], [0.998, 0.854, 0.250], [0.999, 0.349, 0.515], [0.999, 0.349, 0.985], [0.001, 0.573, 0.519], [0.001, 0.573, 0.981], [0.002, 0.104, 0.628], [0.002, 0.104, 0.872], [0.002, 0.704, 0.591], [0.002, 0.704, 0.909], [0.077, 0.774, 0.250], [0.079, 0.301, 0.588], [0.079, 0.301, 0.912], [0.079, 0.625, 0.093], [0.079, 0.625, 0.407], [0.081, 0.152, 0.750], [0.104, 0.002, 0.128], [0.104, 0.002, 0.372], [0.105, 0.895, 0.628], [0.105, 0.895, 0.872], [0.111, 0.462, 0.750], [0.116, 0.438, 0.250], [0.145, 0.772, 0.750], [0.152, 0.081, 0.250], [0.162, 0.285, 0.250], [0.174, 0.559, 0.750], [0.226, 0.923, 0.250], [0.228, 0.855, 0.750], [0.231, 0.344, 0.125], [0.231, 0.344, 0.375], [0.231, 0.435, 0.626], [0.231, 0.435, 0.874], [0.285, 0.162, 0.750], [0.291, 0.552, 0.250], [0.291, 0.627, 0.590], [0.291, 0.627, 0.910], [0.295, 0.705, 0.092], [0.295, 0.705, 0.408], [0.296, 0.998, 0.591], [0.296, 0.998, 0.909], [0.301, 0.079, 0.088], [0.301, 0.079, 0.412], [0.344, 0.231, 0.625], [0.344, 0.231, 0.875], [0.351, 0.429, 0.127], [0.351, 0.429, 0.373], [0.373, 0.709, 0.590], [0.373, 0.709, 0.910], [0.375, 0.921, 0.093], [0.375, 0.921, 0.407], [0.421, 0.579, 0.011], [0.421, 0.579, 0.489], [0.427, 0.999, 0.519], [0.427, 0.999, 0.981], [0.429, 0.351, 0.627], [0.429, 0.351, 0.873], [0.435, 0.231, 0.126], [0.435, 0.231, 0.374], [0.438, 0.116, 0.750], [0.441, 0.826, 0.750], [0.445, 0.457, 0.250], [0.448, 0.709, 0.250], [0.457, 0.445, 0.750], [0.462, 0.111, 0.250], [0.538, 0.889, 0.750], [0.543, 0.555, 0.250], [0.552, 0.291, 0.750], [0.555, 0.543, 0.750], [0.559, 0.174, 0.250], [0.562, 0.884, 0.250], [0.565, 0.769, 0.626], [0.565, 0.769, 0.874], [0.571, 0.649, 0.127], [0.571, 0.649, 0.373], [0.573, 0.001, 0.019], [0.573, 0.001, 0.481], [0.579, 0.421, 0.511], [0.579, 0.421, 0.989], [0.625, 0.079, 0.593], [0.625, 0.079, 0.907], [0.627, 0.291, 0.090], [0.627, 0.291, 0.410], [0.649, 0.571, 0.627], [0.649, 0.571, 0.873], [0.656, 0.769, 0.125], [0.656, 0.769, 0.375], [0.699, 0.921, 0.588], [0.699, 0.921, 0.912], [0.704, 0.002, 0.091], [0.704, 0.002, 0.409], [0.705, 0.295, 0.592], [0.705, 0.295, 0.908], [0.709, 0.373, 0.090], [0.709, 0.373, 0.410], [0.709, 0.448, 0.750], [0.715, 0.838, 0.250], [0.769, 0.565, 0.126], [0.769, 0.565, 0.374], [0.769, 0.656, 0.625], [0.769, 0.656, 0.875], [0.772, 0.145, 0.250], [0.774, 0.077, 0.750], [0.826, 0.441, 0.250], [0.838, 0.715, 0.750], [0.848, 0.919, 0.750], [0.855, 0.228, 0.250], [0.884, 0.562, 0.750], [0.889, 0.538, 0.250], [0.895, 0.105, 0.128], [0.895, 0.105, 0.372], [0.896, 0.998, 0.628], [0.896, 0.998, 0.872], [0.919, 0.848, 0.250], [0.921, 0.375, 0.593], [0.921, 0.375, 0.907], [0.921, 0.699, 0.088], [0.921, 0.699, 0.412], [0.923, 0.226, 0.750], [0.998, 0.296, 0.091], [0.998, 0.296, 0.409], [0.998, 0.896, 0.128], [0.998, 0.896, 0.372], [0.999, 0.427, 0.019], [0.999, 0.427, 0.481]], "final_energy_ev_per_atom": -3.913, "magmom_total_mub_per_fu": 0.000}

2.
{"formula": "RbLiMnB4H16", "functional": "PBE", "state": "optimized geometry", "lattice_angstrom": [[8.123, 0.000, 0.000], [0.000, 4.718, 6.137], [0.000, -4.718, 6.137]], "species": ["Rb", "Rb", "Li", "Li", "Mn", "Mn", "B", "B", "B", "B", "B", "B", "B", "B", "H", "H", "H", "H", "H", "H", "H", "H", "H", "H", "H", "H", "H", "H", "H", "H", "H", "H", "H", "H", "H", "H", "H", "H", "H", "H", "H", "H", "H", "H", "H", "H"], "frac_coords": [[0.000, 0.000, 0.000], [0.500, 0.500, 0.500], [0.000, 0.643, 0.643], [0.500, 0.143, 0.143], [0.000, 0.358, 0.358], [0.500, 0.858, 0.858], [0.101, 0.662, 0.327], [0.243, 0.242, 0.250], [0.257, 0.742, 0.750], [0.399, 0.162, 0.827], [0.601, 0.827, 0.162], [0.743, 0.750, 0.742], [0.757, 0.250, 0.242], [0.899, 0.327, 0.662], [0.009, 0.609, 0.222], [0.020, 0.766, 0.388], [0.131, 0.315, 0.148], [0.136, 0.838, 0.712], [0.148, 0.535, 0.450], [0.210, 0.224, 0.411], [0.221, 0.732, 0.245], [0.236, 0.591, 0.735], [0.264, 0.091, 0.235], [0.279, 0.232, 0.745], [0.290, 0.724, 0.911], [0.352, 0.035, 0.950], [0.364, 0.338, 0.212], [0.369, 0.815, 0.648], [0.480, 0.266, 0.888], [0.491, 0.109, 0.722], [0.509, 0.722, 0.109], [0.520, 0.888, 0.266], [0.631, 0.648, 0.815], [0.636, 0.212, 0.338], [0.648, 0.950, 0.035], [0.710, 0.911, 0.724], [0.721, 0.745, 0.232], [0.736, 0.235, 0.091], [0.764, 0.735, 0.591], [0.779, 0.245, 0.732], [0.790, 0.411, 0.224], [0.852, 0.450, 0.535], [0.864, 0.712, 0.838], [0.869, 0.148, 0.315], [0.980, 0.388, 0.766], [0.991, 0.222, 0.609]], "final_energy_ev_per_atom": -4.253, "magmom_total_mub_per_fu": 5.000}

3.
{"formula": "LiB2H11N2", "functional": "PBE", "state": "optimized geometry", "lattice_angstrom": [[6.833, 0.000, 0.000], [0.000, 15.245, 0.000], [-0.635, 0.000, 5.159]], "species": ["Li", "Li", "Li", "Li", "B", "B", "B", "B", "B", "B", "B", "B", "H", "H", "H", "H", "H", "H", "H", "H", "H", "H", "H", "H", "H", "H", "H", "H", "H", "H", "H", "H", "H", "H", "H", "H", "H", "H", "H", "H", "H", "H", "H", "H", "H", "H", "H", "H", "H", "H", "H", "H", "H", "H", "H", "H", "N", "N", "N", "N", "N", "N", "N", "N"], "frac_coords": [[0.086, 0.080, 0.203], [0.086, 0.420, 0.703], [0.914, 0.580, 0.297], [0.914, 0.920, 0.797], [0.060, 0.585, 0.759], [0.060, 0.915, 0.259], [0.418, 0.149, 0.121], [0.418, 0.351, 0.621], [0.582, 0.649, 0.379], [0.582, 0.851, 0.879], [0.940, 0.085, 0.741], [0.940, 0.415, 0.241], [0.066, 0.196, 0.569], [0.066, 0.304, 0.069], [0.087, 0.039, 0.823], [0.087, 0.461, 0.323], [0.110, 0.626, 0.572], [0.110, 0.874, 0.072], [0.146, 0.668, 0.080], [0.146, 0.832, 0.580], [0.196, 0.533, 0.832], [0.196, 0.967, 0.332], [0.265, 0.191, 0.111], [0.265, 0.309, 0.611], [0.359, 0.094, 0.729], [0.359, 0.406, 0.229], [0.400, 0.604, 0.678], [0.400, 0.896, 0.178], [0.403, 0.078, 0.226], [0.403, 0.422, 0.726], [0.444, 0.690, 0.264], [0.444, 0.810, 0.764], [0.466, 0.192, 0.734], [0.466, 0.308, 0.234], [0.534, 0.692, 0.766], [0.534, 0.808, 0.266], [0.556, 0.190, 0.236], [0.556, 0.310, 0.736], [0.597, 0.578, 0.274], [0.597, 0.922, 0.774], [0.600, 0.104, 0.822], [0.600, 0.396, 0.322], [0.641, 0.594, 0.771], [0.641, 0.906, 0.271], [0.735, 0.691, 0.389], [0.735, 0.809, 0.889], [0.804, 0.033, 0.668], [0.804, 0.467, 0.168], [0.854, 0.168, 0.420], [0.854, 0.332, 0.920], [0.890, 0.126, 0.928], [0.890, 0.374, 0.428], [0.913, 0.539, 0.677], [0.913, 0.961, 0.177], [0.934, 0.696, 0.931], [0.934, 0.804, 0.431], [0.016, 0.642, 0.991], [0.016, 0.858, 0.491], [0.464, 0.133, 0.831], [0.464, 0.367, 0.331], [0.536, 0.633, 0.669], [0.536, 0.867, 0.169], [0.984, 0.142, 0.509], [0.984, 0.358, 0.009]], "final_energy_ev_per_atom": -4.669, "magmom_total_mub_per_fu": 0.000}

4.
{"formula": "Li5BHN2", "functional": "PBE", "state": "optimized geometry", "lattice_angstrom": [[4.044, 0.000, 0.000], [0.000, 4.044, 0.000], [0.000, 0.000, 6.585]], "species": ["Li", "Li", "Li", "Li", "Li", "B", "H", "N", "N"], "frac_coords": [[0.000, 0.000, 0.000], [0.000, 0.500, 0.264], [0.000, 0.500, 0.736], [0.500, 0.000, 0.264], [0.500, 0.000, 0.736], [0.000, 0.000, 0.500], [0.500, 0.500, 0.000], [0.000, 0.000, 0.294], [0.000, 0.000, 0.706]], "final_energy_ev_per_atom": -4.524, "magmom_total_mub_per_fu": 0.000}

5.
{"formula": "Li2B3H14N", "functional": "PBE", "state": "optimized geometry", "lattice_angstrom": [[8.257, 0.000, 0.000], [0.000, 12.561, 0.000], [0.000, 0.000, 6.312]], "species": ["Li", "Li", "Li", "Li", "Li", "Li", "Li", "Li", "B", "B", "B", "B", "B", "B", "B", "B", "B", "B", "B", "B", "H", "H", "H", "H", "H", "H", "H", "H", "H", "H", "H", "H", "H", "H", "H", "H", "H", "H", "H", "H", "H", "H", "H", "H", "H", "H", "H", "H", "H", "H", "H", "H", "H", "H", "H", "H", "H", "H", "H", "H", "H", "H", "H", "H", "H", "H", "H", "H", "H", "H", "H", "H", "H", "H", "H", "H", "N", "N", "N", "N"], "frac_coords": [[0.162, 0.077, 0.032], [0.162, 0.423, 0.032], [0.338, 0.577, 0.532], [0.338, 0.923, 0.532], [0.662, 0.077, 0.468], [0.662, 0.423, 0.468], [0.838, 0.577, 0.968], [0.838, 0.923, 0.968], [0.103, 0.573, 0.782], [0.103, 0.927, 0.782], [0.203, 0.250, 0.812], [0.297, 0.750, 0.312], [0.397, 0.073, 0.282], [0.397, 0.427, 0.282], [0.603, 0.573, 0.718], [0.603, 0.927, 0.718], [0.703, 0.250, 0.688], [0.797, 0.750, 0.188], [0.897, 0.073, 0.218], [0.897, 0.427, 0.218], [0.033, 0.071, 0.294], [0.033, 0.429, 0.294], [0.063, 0.185, 0.542], [0.063, 0.315, 0.542], [0.090, 0.250, 0.937], [0.099, 0.580, 0.976], [0.099, 0.920, 0.976], [0.173, 0.009, 0.729], [0.173, 0.491, 0.729], [0.175, 0.651, 0.715], [0.175, 0.849, 0.715], [0.211, 0.671, 0.331], [0.211, 0.829, 0.331], [0.226, 0.250, 0.467], [0.274, 0.750, 0.967], [0.289, 0.171, 0.831], [0.289, 0.329, 0.831], [0.325, 0.151, 0.215], [0.325, 0.349, 0.215], [0.327, 0.509, 0.229], [0.327, 0.991, 0.229], [0.401, 0.080, 0.476], [0.401, 0.420, 0.476], [0.410, 0.750, 0.437], [0.437, 0.685, 0.042], [0.437, 0.815, 0.042], [0.467, 0.571, 0.794], [0.467, 0.929, 0.794], [0.533, 0.071, 0.206], [0.533, 0.429, 0.206], [0.563, 0.185, 0.958], [0.563, 0.315, 0.958], [0.590, 0.250, 0.563], [0.599, 0.580, 0.524], [0.599, 0.920, 0.524], [0.673, 0.009, 0.771], [0.673, 0.491, 0.771], [0.675, 0.651, 0.785], [0.675, 0.849, 0.785], [0.711, 0.671, 0.169], [0.711, 0.829, 0.169], [0.726, 0.250, 0.033], [0.774, 0.750, 0.533], [0.789, 0.171, 0.669], [0.789, 0.329, 0.669], [0.825, 0.151, 0.285], [0.825, 0.349, 0.285], [0.827, 0.509, 0.271], [0.827, 0.991, 0.271], [0.901, 0.080, 0.024], [0.901, 0.420, 0.024], [0.910, 0.750, 0.063], [0.937, 0.685, 0.458], [0.937, 0.815, 0.458], [0.967, 0.571, 0.706], [0.967, 0.929, 0.706], [0.134, 0.250, 0.576], [0.366, 0.750, 0.076], [0.634, 0.250, 0.924], [0.866, 0.750, 0.424]], "final_energy_ev_per_atom": -4.294, "magmom_total_mub_per_fu": 0.000}

6.
{"formula": "Li2BH6N", "functional": "PBE", "state": "optimized geometry", "lattice_angstrom": [[7.185, 4.148, 3.065], [-7.185, 4.148, 3.065], [0.000, -8.296, 3.065]], "species": ["Li", "Li", "Li", "Li", "Li", "Li", "Li", "Li", "Li", "Li", "Li", "Li", "B", "B", "B", "B", "B", "B", "H", "H", "H", "H", "H", "H", "H", "H", "H", "H", "H", "H", "H", "H", "H", "H", "H", "H", "H", "H", "H", "H", "H", "H", "H", "H", "H", "H", "H", "H", "H", "H", "H", "H", "H", "H", "N", "N", "N", "N", "N", "N"], "frac_coords": [[0.067, 0.886, 0.800], [0.068, 0.552, 0.715], [0.114, 0.200, 0.933], [0.200, 0.933, 0.114], [0.285, 0.932, 0.448], [0.448, 0.285, 0.932], [0.552, 0.715, 0.068], [0.715, 0.068, 0.552], [0.800, 0.067, 0.886], [0.886, 0.800, 0.067], [0.932, 0.448, 0.285], [0.933, 0.114, 0.200], [0.144, 0.741, 0.572], [0.259, 0.428, 0.856], [0.428, 0.856, 0.259], [0.572, 0.144, 0.741], [0.741, 0.572, 0.144], [0.856, 0.259, 0.428], [0.005, 0.618, 0.944], [0.015, 0.354, 0.473], [0.056, 0.995, 0.382], [0.106, 0.395, 0.837], [0.151, 0.380, 0.208], [0.163, 0.894, 0.605], [0.179, 0.682, 0.449], [0.208, 0.151, 0.380], [0.248, 0.747, 0.707], [0.253, 0.293, 0.752], [0.293, 0.752, 0.253], [0.318, 0.551, 0.821], [0.354, 0.473, 0.015], [0.380, 0.208, 0.151], [0.382, 0.056, 0.995], [0.395, 0.837, 0.106], [0.449, 0.179, 0.682], [0.473, 0.015, 0.354], [0.527, 0.985, 0.646], [0.551, 0.821, 0.318], [0.605, 0.163, 0.894], [0.618, 0.944, 0.005], [0.620, 0.792, 0.849], [0.646, 0.527, 0.985], [0.682, 0.449, 0.179], [0.707, 0.248, 0.747], [0.747, 0.707, 0.248], [0.752, 0.253, 0.293], [0.792, 0.849, 0.620], [0.821, 0.318, 0.551], [0.837, 0.106, 0.395], [0.849, 0.620, 0.792], [0.894, 0.605, 0.163], [0.944, 0.005, 0.618], [0.985, 0.646, 0.527], [0.995, 0.382, 0.056], [0.016, 0.303, 0.116], [0.116, 0.016, 0.303], [0.303, 0.116, 0.016], [0.697, 0.884, 0.984], [0.884, 0.984, 0.697], [0.984, 0.697, 0.884]], "final_energy_ev_per_atom": -4.326, "magmom_total_mub_per_fu": 0.019}